16
Lattice="-3.2418 5.1224 -1.1513 -4.4107 -0.8135 -7.7346 -8.1936 -0.6794 3.5133" Properties=species:S:1:pos:R:3 comment="PBE Tm4ScPb3, optimized geometry" energy_ev_per_atom=-4.859 crystal_system=tetragonal magmom_total_mub_per_atom=0.08 delta_e_f_ev_per_atom=-0.44 pbc="T T T"
Tm -6.1266 2.3055 -5.5612
Pb -7.0288 2.8965 -0.3914
Tm -11.8390 2.5304 -5.0112
Sc -8.7335 3.0953 -2.9742
Pb -11.6509 3.3371 -1.9512
Pb -2.4314 3.8418 -0.8635
Tm -6.6042 -0.1813 1.2542
Pb -4.1952 0.2924 -3.4214
Pb -0.8105 1.2806 -0.2878
Tm -9.7195 1.3240 0.1885
Tm -9.2419 3.8108 -6.6269
Sc -7.1126 0.5342 -2.3985
Tm -10.8219 -0.0095 -2.6402
Pb -8.8174 0.7329 -4.9812
Tm -4.0072 1.0992 -0.3615
Tm -5.0243 3.6390 -2.7324